(1)
Density functional theory data (PBEsol) for crystalline Mn3NbIn at its relaxed geometry.

Geometry as CIF:
```
data_Mn3NbIn
_chemical_formula_sum 'Mn3 Nb1 In1'
_cell_length_a 4.5852
_cell_length_b 4.5852
_cell_length_c 4.5852
_cell_angle_alpha 90.00
_cell_angle_beta 90.00
_cell_angle_gamma 90.00
_space_group_name_H-M_alt 'P 1'
_space_group_IT_number 1
loop_
_space_group_symop_operation_xyz
'x,y,z'
loop_
_atom_site_label
_atom_site_type_symbol
_atom_site_fract_x
_atom_site_fract_y
_atom_site_fract_z
_atom_site_occupancy
Mn1 Mn 0.0000 0.0000 0.5000 1
Mn2 Mn 0.0000 0.5000 0.0000 1
Mn3 Mn 0.5000 0.0000 0.0000 1
Nb1 Nb 0.0000 0.0000 0.0000 1
In1 In 0.5000 0.5000 0.5000 1
```

Output
calculated formation energy	6.72	eV/f.u.

(2)
Density functional theory data (PBEsol) for crystalline MnAlSb2I at its relaxed geometry.

Geometry as CIF:
```
data_MnAlSb2I
_chemical_formula_sum 'Mn1 Al1 Sb2 I1'
_cell_length_a 4.9276
_cell_length_b 4.9276
_cell_length_c 5.6985
_cell_angle_alpha 90.00
_cell_angle_beta 90.00
_cell_angle_gamma 90.00
_space_group_name_H-M_alt 'P 1'
_space_group_IT_number 1
loop_
_space_group_symop_operation_xyz
'x,y,z'
loop_
_atom_site_label
_atom_site_type_symbol
_atom_site_fract_x
_atom_site_fract_y
_atom_site_fract_z
_atom_site_occupancy
Mn1 Mn 0.0000 0.0000 0.0000 1
Al1 Al 0.5000 0.5000 0.5000 1
Sb1 Sb 0.0000 0.5000 0.0000 1
Sb2 Sb 0.5000 0.0000 0.0000 1
I1 I 0.0000 0.0000 0.5000 1
```

Output
formation energy (no corrections)	0.49	eV/atom

(3)
Density functional theory data (PBEsol) for crystalline Sb3O7 at its relaxed geometry.

Geometry as CIF:
```
data_Sb3O7
_chemical_formula_sum 'Sb6 O14'
_cell_length_a 7.3218
_cell_length_b 7.3218
_cell_length_c 7.3218
_cell_angle_alpha 121.06
_cell_angle_beta 120.62
_cell_angle_gamma 88.55
_space_group_name_H-M_alt 'P 1'
_space_group_IT_number 1
loop_
_space_group_symop_operation_xyz
'x,y,z'
loop_
_atom_site_label
_atom_site_type_symbol
_atom_site_fract_x
_atom_site_fract_y
_atom_site_fract_z
_atom_site_occupancy
Sb1 Sb 0.0000 0.0000 0.0000 1
Sb2 Sb 0.0000 0.5000 0.5000 1
Sb3 Sb 0.5000 0.0000 0.0000 1
Sb4 Sb 0.5000 0.0000 0.5000 1
Sb5 Sb 0.5000 0.5000 0.0000 1
Sb6 Sb 0.5000 0.5000 0.5000 1
O1 O 0.1722 0.3988 0.3368 1
O2 O 0.1722 0.8353 0.7734 1
O3 O 0.1747 0.9247 0.2500 1
O4 O 0.1825 0.4325 0.7500 1
O5 O 0.4330 0.1830 0.2500 1
O6 O 0.4380 0.1647 0.8368 1
O7 O 0.4380 0.6012 0.2734 1
O8 O 0.5619 0.3988 0.7266 1
O9 O 0.5619 0.8353 0.1632 1
O10 O 0.5670 0.8170 0.7500 1
O11 O 0.8175 0.5675 0.2500 1
O12 O 0.8253 0.0753 0.7500 1
O13 O 0.8278 0.1647 0.2266 1
O14 O 0.8278 0.6012 0.6632 1
```

Output
formation energy (no corrections)	-1.24	eV/atom

(4)
Density functional theory data (PBEsol) for crystalline TiCrAgS4 at its relaxed geometry.

Geometry as CIF:
```
data_TiCrAgS4
_chemical_formula_sum 'Ti1 Cr1 Ag1 S4'
_cell_length_a 6.9865
_cell_length_b 6.9865
_cell_length_c 5.8492
_cell_angle_alpha 113.75
_cell_angle_beta 113.75
_cell_angle_gamma 28.31
_space_group_name_H-M_alt 'P 1'
_space_group_IT_number 1
loop_
_space_group_symop_operation_xyz
'x,y,z'
loop_
_atom_site_label
_atom_site_type_symbol
_atom_site_fract_x
_atom_site_fract_y
_atom_site_fract_z
_atom_site_occupancy
Ti1 Ti 0.0000 0.0000 0.0000 1
Cr1 Cr 0.5038 0.5038 0.5571 1
Ag1 Ag 0.2501 0.2501 0.2788 1
S1 S 0.1204 0.1204 0.8064 1
S2 S 0.3816 0.3816 0.7547 1
S3 S 0.6051 0.6051 0.3113 1
S4 S 0.9003 0.9003 0.2774 1
```

Output
formation energy (no corrections)	-0.84	eV/atom

Repeat the second record exactly.
Density functional theory data (PBEsol) for crystalline MnAlSb2I at its relaxed geometry.

Geometry as CIF:
```
data_MnAlSb2I
_chemical_formula_sum 'Mn1 Al1 Sb2 I1'
_cell_length_a 4.9276
_cell_length_b 4.9276
_cell_length_c 5.6985
_cell_angle_alpha 90.00
_cell_angle_beta 90.00
_cell_angle_gamma 90.00
_space_group_name_H-M_alt 'P 1'
_space_group_IT_number 1
loop_
_space_group_symop_operation_xyz
'x,y,z'
loop_
_atom_site_label
_atom_site_type_symbol
_atom_site_fract_x
_atom_site_fract_y
_atom_site_fract_z
_atom_site_occupancy
Mn1 Mn 0.0000 0.0000 0.0000 1
Al1 Al 0.5000 0.5000 0.5000 1
Sb1 Sb 0.0000 0.5000 0.0000 1
Sb2 Sb 0.5000 0.0000 0.0000 1
I1 I 0.0000 0.0000 0.5000 1
```

Output
formation energy (no corrections)	0.49	eV/atom